[1]
This record from Alexandria describes crystalline CsBaAs at its relaxed geometry. The functional is PBE-GGA.

abc: 11.659 5.436 5.439
angles: 60.62 77.02 76.93
Atoms (fractional coordinates):
Cs (0.834, 0.727, 0.333)
Cs (0.118, 0.300, 0.902)
As (0.650, 0.119, 0.725)
As (0.282, 0.580, 0.183)
Ba (0.376, 0.884, 0.489)
Ba (0.581, 0.477, 0.083)

Summary:
ΔH_f (0 K) in kJ per mole of atoms: -65
DOS at the Fermi energy in states/eV/atom: 0.000
Calculated volume in Å³ per cell: 290
Calculated total energy in eV per cell: -18.91
Space group: P1

[2]
This record from Alexandria describes crystalline CsBa3As at its relaxed geometry. The functional is PBE-GGA.

abc: 6.266 6.266 6.266
angles: 90.00 90.00 90.00
Atoms (fractional coordinates):
Cs (0.000, 0.000, 0.000)
As (0.500, 0.500, 0.500)
Ba (0.000, 0.500, 0.000)
Ba (0.000, 0.000, 0.500)
Ba (0.500, 0.000, 0.000)

Summary:
ΔH_f (0 K) in kJ per mole of atoms: 72
DOS at the Fermi energy in states/eV/atom: 1.365
Calculated volume in Å³ per cell: 246
Calculated total energy in eV per cell: -7.53
Space group: Pm-3m

[3]
This record from Alexandria describes crystalline Cs2Ba2As at its relaxed geometry. The functional is PBE-GGA.

abc: 8.931 8.931 8.179
angles: 90.00 90.00 90.00
Atoms (fractional coordinates):
Cs (0.683, 0.183, 0.500)
Cs (0.817, 0.683, 0.500)
Cs (0.317, 0.817, 0.500)
Cs (0.183, 0.317, 0.500)
Ba (0.816, 0.316, 0.000)
Ba (0.684, 0.816, 0.000)
Ba (0.184, 0.684, 0.000)
Ba (0.316, 0.184, 0.000)
As (0.000, 0.000, 0.000)
As (0.500, 0.500, 0.000)

Summary:
ΔH_f (0 K) in kJ per mole of atoms: -23
DOS at the Fermi energy in states/eV/atom: 0.882
Calculated volume in Å³ per cell: 652
Calculated total energy in eV per cell: -22.79
Space group: P4/mbm

[4]
This record from Alexandria describes crystalline CsBa2As at its relaxed geometry. The functional is PBE-GGA.

abc: 4.857 6.663 16.811
angles: 90.00 98.12 90.00
Atoms (fractional coordinates):
Cs (0.941, 0.750, 0.889)
Cs (0.059, 0.250, 0.111)
Ba (0.778, 0.750, 0.557)
Ba (0.222, 0.250, 0.443)
Ba (0.649, 0.750, 0.295)
Ba (0.351, 0.250, 0.705)
As (0.210, 0.750, 0.419)
As (0.790, 0.250, 0.581)

Summary:
ΔH_f (0 K) in kJ per mole of atoms: -59
DOS at the Fermi energy in states/eV/atom: 0.599
Calculated volume in Å³ per cell: 539
Calculated total energy in eV per cell: -23.60
Space group: P2_1/m

[5]
This record from Alexandria describes crystalline Cs2BaAs at its relaxed geometry. The functional is PBE-GGA.

abc: 6.207 6.207 6.207
angles: 60.00 60.00 60.00
Atoms (fractional coordinates):
Cs (0.250, 0.250, 0.250)
Cs (0.750, 0.750, 0.750)
As (0.000, 0.000, 0.000)
Ba (0.500, 0.500, 0.500)

Summary:
ΔH_f (0 K) in kJ per mole of atoms: 8
DOS at the Fermi energy in states/eV/atom: 1.241
Calculated volume in Å³ per cell: 169
Calculated total energy in eV per cell: -7.95
Space group: Fm-3m

[6]
This record from Alexandria describes crystalline CsBa3As at its relaxed geometry. The functional is PBE-GGA.

abc: 6.665 6.665 6.665
angles: 90.00 90.00 90.00
Atoms (fractional coordinates):
Cs (0.500, 0.500, 0.500)
As (0.000, 0.000, 0.000)
Ba (0.000, 0.500, 0.000)
Ba (0.000, 0.000, 0.500)
Ba (0.500, 0.000, 0.000)

Summary:
ΔH_f (0 K) in kJ per mole of atoms: -40
DOS at the Fermi energy in states/eV/atom: 0.891
Calculated volume in Å³ per cell: 296
Calculated total energy in eV per cell: -13.36
Space group: Pm-3m

[7]
This record from Alexandria describes crystalline CsBaAs at its relaxed geometry. The functional is PBE-GGA.

abc: 5.685 10.606 5.684
angles: 74.46 59.98 74.43
Atoms (fractional coordinates):
Cs (0.839, 0.114, 0.735)
Cs (0.583, 0.877, 0.481)
As (0.447, 0.289, 0.343)
As (0.975, 0.703, 0.873)
Ba (0.336, 0.620, 0.234)
Ba (0.086, 0.372, 0.982)

Summary:
ΔH_f (0 K) in kJ per mole of atoms: -71
DOS at the Fermi energy in states/eV/atom: 0.000
Calculated volume in Å³ per cell: 282
Calculated total energy in eV per cell: -19.25
Space group: P-1

[8]
This record from Alexandria describes crystalline Cs2BaAs2 at its relaxed geometry. The functional is PBE-GGA.

abc: 4.990 4.990 8.514
angles: 72.96 72.96 90.00
Atoms (fractional coordinates):
Cs (0.750, 0.250, 0.500)
Cs (0.250, 0.750, 0.500)
As (0.420, 0.420, 0.160)
As (0.580, 0.580, 0.840)
Ba (0.000, 0.000, 0.000)

Summary:
ΔH_f (0 K) in kJ per mole of atoms: -39
DOS at the Fermi energy in states/eV/atom: 0.590
Calculated volume in Å³ per cell: 193
Calculated total energy in eV per cell: -14.93
Space group: I4/mmm

[9]
This record from Alexandria describes crystalline CsBaAs at its relaxed geometry. The functional is PBE-GGA.

abc: 4.717 14.914 4.716
angles: 83.80 90.00 82.69
Atoms (fractional coordinates):
Cs (0.859, 0.172, 0.257)
Cs (0.601, 0.820, 0.039)
As (0.285, 0.356, 0.196)
As (0.673, 0.636, 0.601)
Ba (0.193, 0.587, 0.118)
Ba (0.766, 0.405, 0.679)

Summary:
ΔH_f (0 K) in kJ per mole of atoms: -64
DOS at the Fermi energy in states/eV/atom: 0.675
Calculated volume in Å³ per cell: 327
Calculated total energy in eV per cell: -18.84
Space group: P1

[10]
This record from Alexandria describes crystalline CsBaAs at its relaxed geometry. The functional is PBE-GGA.

abc: 7.634 7.634 11.688
angles: 90.00 90.00 120.00
Atoms (fractional coordinates):
Cs (0.333, 0.667, 0.250)
Cs (0.667, 0.333, 0.750)
As (0.000, 0.000, 0.000)
As (0.000, 0.000, 0.500)
Ba (0.000, 0.000, 0.250)
Ba (0.000, 0.000, 0.750)

Summary:
ΔH_f (0 K) in kJ per mole of atoms: 19
DOS at the Fermi energy in states/eV/atom: 0.832
Calculated volume in Å³ per cell: 590
Calculated total energy in eV per cell: -13.68
Space group: P6_3/mmc

[11]
This record from Alexandria describes crystalline CsBaAs at its relaxed geometry. The functional is PBE-GGA.

abc: 9.569 5.609 9.519
angles: 90.00 90.00 90.00
Atoms (fractional coordinates):
Cs (0.981, 0.250, 0.834)
Cs (0.519, 0.750, 0.334)
Cs (0.019, 0.750, 0.166)
Cs (0.481, 0.250, 0.666)
As (0.195, 0.250, 0.397)
As (0.305, 0.750, 0.897)
As (0.805, 0.750, 0.603)
As (0.695, 0.250, 0.103)
Ba (0.849, 0.250, 0.416)
Ba (0.651, 0.750, 0.916)
Ba (0.151, 0.750, 0.584)
Ba (0.349, 0.250, 0.084)

Summary:
ΔH_f (0 K) in kJ per mole of atoms: -75
DOS at the Fermi energy in states/eV/atom: 0.000
Calculated volume in Å³ per cell: 511
Calculated total energy in eV per cell: -38.97
Space group: Pnma

[12]
This record from Alexandria describes crystalline CsBaAs at its relaxed geometry. The functional is PBE-GGA.

abc: 6.014 8.535 5.769
angles: 90.00 90.00 90.01
Atoms (fractional coordinates):
Cs (0.872, 0.061, 0.520)
Cs (0.371, 0.931, 0.020)
As (0.676, 0.309, 0.021)
As (0.176, 0.683, 0.521)
Ba (0.171, 0.476, 0.021)
Ba (0.671, 0.515, 0.521)

Summary:
ΔH_f (0 K) in kJ per mole of atoms: -70
DOS at the Fermi energy in states/eV/atom: 0.000
Calculated volume in Å³ per cell: 296
Calculated total energy in eV per cell: -19.21
Space group: Pm